Record 1
This record from Alexandria via LeMat-Bulk describes an optimized crystal structure of Tb3Pm3Y. The functional is PBE.

```
14
Lattice="5.767 0.000 0.000 0.000 9.679 0.000 0.000 -4.839 8.382" Properties=species:S:1:pos:R:3 pbc="T T T"
Tb 1.442 1.357 1.601
Tb 4.325 -2.774 8.008
Tb 4.325 3.483 6.781
Tb 1.442 7.614 0.374
Tb 4.325 -0.708 1.976
Tb 1.442 5.548 6.406
Pm 4.325 5.550 0.793
Pm 4.325 2.751 3.179
Pm 1.442 -0.711 7.589
Pm 1.442 2.088 5.203
Pm 1.442 -1.377 3.972
Pm 4.325 6.217 4.410
Y 1.442 4.839 2.794
Y 4.325 0.000 5.588
```

Summary:
E = -68.95 eV/cell
Excess energy over the best structure of this formula in the dataset = 0.00 eV/f.u.
E_form = 0.019 eV/atom



Record 2
This record from Alexandria via LeMat-Bulk describes an optimized crystal structure of SrPmPdPt. The functional is PBE.

```
4
Lattice="-2.894 -3.922 1.612 1.449 -4.828 -0.971 1.648 -3.004 3.824" Properties=species:S:1:pos:R:3 pbc="T T T"
Pt 0.153 -8.816 3.349
Pm 0.000 0.000 0.000
Pd 0.051 -2.939 1.116
Sr 0.102 -5.877 2.232
```

Summary:
E = -20.81 eV/cell
Excess energy over the best structure of this formula in the dataset = 0.24 eV/f.u.
E_form = -0.786 eV/atom



Record 3
This record from Alexandria via LeMat-Bulk describes an optimized crystal structure of LaThCuNi. The functional is PBE.

```
4
Lattice="-4.930 0.508 0.921 -3.357 -2.530 -2.781 -2.590 -3.817 2.032" Properties=species:S:1:pos:R:3 pbc="T T T"
Cu -2.719 -1.460 0.043
Ni -8.158 -4.380 0.128
Th -5.438 -2.920 0.085
La 0.000 0.000 0.000
```

Summary:
E = -22.78 eV/cell
E_form = -0.140 eV/atom



Record 4
This record from Alexandria via LeMat-Bulk describes an optimized crystal structure of Ta4BeSb. The functional is PBE.

```
6
Lattice="1.586 3.206 4.166 -1.515 5.276 0.136 -3.676 1.706 3.705" Properties=species:S:1:pos:R:3 pbc="T T T"
Ta -1.356 3.833 3.012
Ta -3.176 4.678 4.847
Ta -2.107 6.445 3.079
Ta -0.571 5.420 5.075
Be -2.704 7.641 6.005
Sb 0.000 0.000 0.000
```

Summary:
Energy relative to the elements, uncorrected = 0.67 eV per atom
E = -51.26 eV/cell



Record 5
This record from Alexandria via LeMat-Bulk describes an optimized crystal structure of TlFeSb3. The functional is PBE.

```
5
Lattice="-4.873 -1.257 0.486 0.504 -0.007 5.030 -1.250 4.897 0.132" Properties=species:S:1:pos:R:3 pbc="T T T"
Sb -2.436 -0.629 0.243
Sb 0.252 -0.004 2.515
Sb -0.625 2.448 0.066
Fe 0.000 0.000 0.000
Tl -2.809 1.816 2.824
```

Summary:
Energy relative to the elements, uncorrected = 0.35 eV per atom
E = -21.44 eV/cell
Excess energy over the best structure of this formula in the dataset = 0.00 eV/f.u.



Record 6
This record from Alexandria via LeMat-Bulk describes an optimized crystal structure of CaMgNb3. The functional is PBE.

```
5
Lattice="4.942 0.000 0.000 0.000 4.942 0.000 0.000 0.000 4.942" Properties=species:S:1:pos:R:3 pbc="T T T"
Nb 0.000 0.000 2.471
Nb 2.471 0.000 0.000
Nb 0.000 2.471 0.000
Mg 0.000 0.000 0.000
Ca 2.471 2.471 2.471
```

Summary:
E = -26.18 eV/cell
Excess energy over the best structure of this formula in the dataset = 0.00 eV/f.u.
E_form = 1.525 eV/atom



Record 7
This record from Alexandria via LeMat-Bulk describes an optimized crystal structure of CuOsBr2. The functional is PBE.

```
8
Lattice="5.707 0.000 0.000 0.000 5.707 0.000 2.853 2.853 5.647" Properties=species:S:1:pos:R:3 pbc="T T T"
Br 1.422 4.280 1.412
Br 4.285 1.427 1.412
Br 4.280 4.275 4.235
Br 7.133 7.138 4.235
Os 0.000 0.000 0.000
Os 5.707 2.853 2.824
Cu 2.853 2.853 0.000
Cu 2.853 5.707 2.824
```

Summary:
Energy relative to the elements, uncorrected = 0.98 eV per atom
E = -29.51 eV/cell
Excess energy over the best structure of this formula in the dataset = 2.23 eV/f.u.



Record 8
This record from Alexandria via LeMat-Bulk describes an optimized crystal structure of NdMgSc2. The functional is PBE.

```
4
Lattice="-0.620 2.114 -2.753 -3.165 0.804 1.330 3.447 6.545 4.249" Properties=species:S:1:pos:R:3 pbc="T T T"
Mg -1.893 1.459 -0.712
Nd -0.169 4.731 1.412
Sc 2.693 5.114 3.320
Sc 0.754 1.431 0.929
```

Summary:
E = -18.96 eV/cell
Excess energy over the best structure of this formula in the dataset = 0.04 eV/f.u.
E_form = 0.016 eV/atom



Record 9
This record from Alexandria via LeMat-Bulk describes an optimized crystal structure of SmDy2MnN4. The functional is PBE.

```
16
Lattice="3.389 0.000 0.000 -1.695 5.718 0.000 0.000 0.000 11.505" Properties=species:S:1:pos:R:3 pbc="T T T"
Dy 1.695 1.508 0.502
Dy 0.000 4.210 6.255
Dy 0.000 4.210 11.002
Dy 1.695 1.508 5.250
N 1.695 0.902 2.876
N 1.695 2.670 7.267
N 0.000 0.000 0.000
N 0.000 3.048 4.238
N 0.000 4.816 8.628
N 0.000 0.000 5.752
N 0.000 3.048 1.515
N 1.695 2.670 9.990
Sm 1.695 4.440 2.876
Sm 0.000 1.279 8.628
Mn 1.695 3.933 8.628
Mn 0.000 1.785 2.876
```

Summary:
Energy relative to the elements, uncorrected = -1.18 eV per atom
E = -131.72 eV/cell



Record 10
This record from Alexandria via LeMat-Bulk describes an optimized crystal structure of Sc2TaCo. The functional is PBE.

```
4
Lattice="-1.211 -2.226 1.730 -1.422 -1.143 -2.467 6.388 -4.659 -1.524" Properties=species:S:1:pos:R:3 pbc="T T T"
Sc 5.981 -4.362 -1.427
Sc 0.521 -3.024 -0.807
Co 3.344 -5.084 -1.480
Ta 3.492 -2.547 -0.833
```

Summary:
E = -31.95 eV/cell
Excess energy over the best structure of this formula in the dataset = 0.00 eV/f.u.
E_form = -0.081 eV/atom



Record 11
This record from Alexandria via LeMat-Bulk describes an optimized crystal structure of Ga3FeAs. The functional is PBE.

```
5
Lattice="4.865 0.000 0.000 0.000 4.865 0.000 0.000 0.000 4.865" Properties=species:S:1:pos:R:3 pbc="T T T"
As 0.000 0.000 0.000
Ga 0.000 0.000 2.432
Ga 0.000 2.432 0.000
Ga 2.432 0.000 0.000
Fe 2.432 2.432 2.432
```

Summary:
E = -17.65 eV/cell
E_form = 0.909 eV/atom



Record 12
This record from Alexandria via LeMat-Bulk describes an optimized crystal structure of NaCaAcPm. The functional is PBE.

```
4
Lattice="6.054 0.000 0.000 3.027 5.243 0.000 3.027 1.748 4.943" Properties=species:S:1:pos:R:3 pbc="T T T"
Ac 9.082 5.243 3.708
Pm 6.054 3.496 2.472
Ca 3.027 1.748 1.236
Na 0.000 0.000 0.000
```

Summary:
E = -11.28 eV/cell
E_form = 0.226 eV/atom



Record 13
This record from Alexandria via LeMat-Bulk describes an optimized crystal structure of LaNd2Sm5. The functional is PBE.

```
16
Lattice="5.177 0.000 0.000 0.000 7.313 0.000 0.000 0.000 14.643" Properties=species:S:1:pos:R:3 pbc="T T T"
Sm 0.000 3.662 10.957
Sm 0.000 3.651 3.685
Sm 2.588 5.482 1.843
Sm 2.588 1.826 5.478
Sm 0.000 0.000 0.000
Sm 0.000 3.656 7.321
Sm 0.000 7.307 3.636
Sm 0.000 0.005 11.007
Sm 2.588 5.487 9.165
Sm 2.588 1.830 12.800
La 0.000 3.656 0.000
La 0.000 0.000 7.321
Nd 2.588 1.832 9.163
Nd 2.588 5.481 5.480
Nd 2.588 1.825 1.842
Nd 2.588 5.488 12.801
```

Summary:
E = -75.84 eV/cell
E_form = 0.017 eV/atom



Record 14
This record from Alexandria via LeMat-Bulk describes an optimized crystal structure of TaRe2MoH. The functional is PBE.

```
5
Lattice="-1.487 -3.728 0.560 2.483 -0.516 3.161 -2.817 1.493 2.457" Properties=species:S:1:pos:R:3 pbc="T T T"
Re -0.744 -1.864 0.280
Re 1.242 -0.258 1.581
H 0.000 0.000 0.000
Ta -0.911 -1.376 3.089
Mo -1.409 0.746 1.229
```

Summary:
E = -50.34 eV/cell



Record 15
This record from Alexandria via LeMat-Bulk describes an optimized crystal structure of Ca2Cd2Au. The functional is PBE.

```
5
Lattice="3.977 0.000 0.000 0.000 3.977 0.000 1.989 1.989 8.951" Properties=species:S:1:pos:R:3 pbc="T T T"
Ca 3.977 3.977 7.272
Ca 1.989 1.989 1.679
Au 0.000 0.000 0.000
Cd 3.977 1.989 4.475
Cd 1.989 3.977 4.475
```

Summary:
E = -10.72 eV/cell
Excess energy over the best structure of this formula in the dataset = 0.80 eV/f.u.
E_form = -0.321 eV/atom



Record 16
This record from Alexandria via LeMat-Bulk describes an optimized crystal structure of Sr8Hg2N. The functional is PBE.

```
11
Lattice="-2.315 -6.182 0.761 6.550 -2.184 2.186 -2.068 5.324 7.945" Properties=species:S:1:pos:R:3 pbc="T T T"
N -1.158 -3.091 0.380
Sr 4.699 -1.466 2.387
Sr 3.879 -4.483 4.396
Sr 1.715 0.417 8.609
Sr -1.712 1.441 6.496
Sr 1.289 -3.210 6.855
Sr 0.877 0.168 4.038
Sr 0.451 -3.459 2.283
Sr -2.533 -1.576 8.505
Hg -1.610 -2.308 5.363
Hg 3.776 -0.734 5.530
```

Summary:
Energy relative to the elements, uncorrected = -0.16 eV per atom
E = -24.09 eV/cell
Excess energy over the best structure of this formula in the dataset = 1.57 eV/f.u.



Record 17
This record from Alexandria via LeMat-Bulk describes an optimized crystal structure of HfIn3Cu8. The functional is PBE.

```
12
Lattice="-4.048 -2.303 1.863 -0.443 -4.983 -0.370 2.359 -3.312 7.784" Properties=species:S:1:pos:R:3 pbc="T T T"
Cu -0.876 -8.114 8.326
Cu -1.736 -6.300 1.947
Cu -0.582 -7.953 5.803
Cu -2.597 -9.099 6.730
Cu -3.535 -4.962 3.062
Cu -2.376 -6.620 6.914
Cu 0.186 -2.814 3.679
Cu -1.514 -3.813 2.132
In -4.473 -7.290 1.529
In -1.072 -5.298 4.629
In 0.367 -5.627 7.348
Hf -3.042 -7.618 4.234
```

Summary:
E = -51.87 eV/cell
Excess energy over the best structure of this formula in the dataset = 0.00 eV/f.u.
E_form = -0.078 eV/atom



Record 18
This record from Alexandria via LeMat-Bulk describes an optimized crystal structure of Cs2LiGaI4. The functional is PBE.

```
16
Lattice="10.036 0.031 -0.102 0.024 10.036 -0.102 -5.046 -5.050 7.239" Properties=species:S:1:pos:R:3 pbc="T T T"
I 7.927 2.406 0.088
I -2.914 2.610 6.948
I 2.836 2.583 6.812
I 4.939 4.687 3.742
I 0.130 4.615 3.328
I 0.075 0.330 3.294
I 2.177 2.433 0.224
I 4.883 0.402 3.708
Ga 7.524 2.524 3.467
Ga 0.012 5.018 -0.051
Cs 2.495 -2.509 3.569
Cs 5.018 0.016 -0.051
Cs 5.030 5.033 -0.102
Cs -2.523 -2.525 3.620
Li 2.507 2.508 3.518
Li 4.989 -5.019 7.137
```

Summary:
Energy relative to the elements, uncorrected = -1.09 eV per atom
E = -43.17 eV/cell



Record 19
This record from Alexandria via LeMat-Bulk describes an optimized crystal structure of CrSi3C. The functional is PBE.

```
5
Lattice="-1.610 -2.362 2.690 -0.778 -2.648 -2.791 3.494 -1.678 0.618" Properties=species:S:1:pos:R:3 pbc="T T T"
Si 1.747 -0.839 0.309
Si -0.389 -1.324 -1.395
Si -0.805 -1.181 1.345
C 0.000 0.000 0.000
Cr 0.553 -3.344 0.258
```

Summary:
Energy relative to the elements, uncorrected = 1.00 eV per atom
E = -30.12 eV/cell
Excess energy over the best structure of this formula in the dataset = 0.00 eV/f.u.



Record 20
This record from Alexandria via LeMat-Bulk describes an optimized crystal structure of Dy2Tm3Tl4. The functional is PBE.

```
9
Lattice="-4.419 2.768 -0.344 -2.442 1.575 4.341 5.563 8.865 -0.095" Properties=species:S:1:pos:R:3 pbc="T T T"
Tm 0.000 0.000 0.000
Tm -1.386 7.975 2.610
Tm 0.089 5.233 1.292
Tl -1.711 2.365 1.322
Tl -2.499 5.827 -0.377
Tl 1.202 7.381 4.279
Tl 0.414 10.843 2.580
Dy -3.323 4.888 2.643
Dy 2.026 8.320 1.259
```

Summary:
E = -34.59 eV/cell
Excess energy over the best structure of this formula in the dataset = 0.00 eV/f.u.
E_form = -0.279 eV/atom



Record 21
This record from Alexandria via LeMat-Bulk describes an optimized crystal structure of KSb2. The functional is PBE.

```
3
Lattice="-0.906 4.471 -2.750 -1.064 -0.250 -5.213 -4.904 1.089 -1.772" Properties=species:S:1:pos:R:3 pbc="T T T"
Sb -5.155 3.982 -7.302
Sb -1.718 1.327 -2.434
K 0.000 0.000 0.000
```

Summary:
Energy relative to the elements, uncorrected = 0.37 eV per atom
E = -8.24 eV/cell



Record 22
This record from Alexandria via LeMat-Bulk describes an optimized crystal structure of SrLa2Pd2. The functional is PBE.

```
10
Lattice="-0.736 8.145 -1.318 -5.692 0.457 6.000 3.003 0.723 2.793" Properties=species:S:1:pos:R:3 pbc="T T T"
Sr 0.000 0.000 0.000
Sr -3.214 4.301 2.341
Pd -1.203 5.190 -0.050
Pd -4.226 7.373 2.634
Pd -5.224 3.411 4.733
Pd -2.202 1.228 2.049
La 0.353 3.223 1.890
La -3.778 6.101 5.586
La -2.357 1.944 5.134
La -1.068 7.380 2.342
```

Summary:
E = -49.82 eV/cell
Excess energy over the best structure of this formula in the dataset = 0.00 eV/f.u.
E_form = -0.598 eV/atom



Record 23
This record from Alexandria via LeMat-Bulk describes an optimized crystal structure of Tl2Rh2AuSe6. The functional is PBE.

```
11
Lattice="-0.157 3.628 -5.682 -5.219 -3.878 1.785 -1.066 5.535 4.841" Properties=species:S:1:pos:R:3 pbc="T T T"
Se -4.569 3.544 0.465
Se -2.904 2.390 3.730
Se -1.094 5.072 1.061
Se -3.538 2.894 -2.785
Se -1.873 1.740 0.479
Se -5.348 0.212 -0.117
Tl -4.380 -2.634 0.547
Tl -0.996 2.384 -4.444
Rh -2.365 3.911 -0.790
Rh -4.077 1.373 1.734
Au -0.533 2.767 2.421
```

Summary:
Energy relative to the elements, uncorrected = -0.28 eV per atom
E = -46.74 eV/cell



Record 24
This record from Alexandria via LeMat-Bulk describes an optimized crystal structure of Hf3ZrMo. The functional is PBE.

```
5
Lattice="4.989 0.000 0.000 0.000 4.989 0.000 0.000 0.000 4.989" Properties=species:S:1:pos:R:3 pbc="T T T"
Mo 2.495 2.495 2.495
Hf 0.000 2.495 0.000
Hf 0.000 0.000 2.495
Hf 2.495 0.000 0.000
Zr 0.000 0.000 0.000
```

Summary:
E = -41.06 eV/cell
Excess energy over the best structure of this formula in the dataset = 4.62 eV/f.u.
E_form = 1.635 eV/atom